Record 1
LiCeBeIn: optimized geometry, PBE-GGA.

Cell and atoms, written as extended XYZ:
```
4
Lattice="0.000 3.362 3.362 3.362 0.000 3.362 3.362 3.362 0.000" Properties=species:S:1:pos:R:3 pbc="T T T"
Li 0.000 0.000 0.000
Ce 5.043 5.043 5.043
Be 3.362 3.362 3.362
In 1.681 1.681 1.681
```

## Properties
ρ = 5.92 g/cm3
magnetization = 0.249 μB per atom
raw total energy = -3.647 eV/atom
formation energy = -0.0694 eV per atom

Record 2
Ce2Be3InPt4: optimized geometry, PBE-GGA.

Cell and atoms, written as extended XYZ:
```
10
Lattice="4.043 0.000 0.000 0.000 4.043 0.000 0.000 0.000 10.665" Properties=species:S:1:pos:R:3 pbc="T T T"
Ce 0.000 2.022 2.503
Ce 2.022 0.000 8.162
Be 0.000 2.022 9.482
Be 2.022 0.000 1.184
Be 2.022 2.022 5.333
In 0.000 0.000 5.333
Pt 0.000 0.000 0.000
Pt 0.000 2.022 7.143
Pt 2.022 0.000 3.522
Pt 2.022 2.022 0.000
```

## Properties
ρ = 11.45 g/cm3
magnetization = 0.136 μB per atom
raw total energy = -5.764 eV/atom
formation energy = -0.7693 eV per atom

Record 3
Ce2BeInPt6: optimized geometry, PBE-GGA.

Cell and atoms, written as extended XYZ:
```
10
Lattice="2.812 1.624 7.972 -2.812 1.624 7.972 0.000 -3.247 7.972" Properties=species:S:1:pos:R:3 pbc="T T T"
Ce 0.000 0.000 4.901
Ce 0.000 0.000 19.016
Be 0.000 0.000 11.959
In 0.000 0.000 0.000
Pt -1.399 -0.808 13.686
Pt 0.000 -1.615 10.231
Pt -1.399 0.808 10.231
Pt 1.399 -0.808 13.686
Pt 0.000 1.615 13.686
Pt 1.399 0.808 10.231
```

## Properties
ρ = 11.97 g/cm3
magnetization = 0.101 μB per atom
raw total energy = -6.221 eV/atom
formation energy = -0.7634 eV per atom

Record 4
Ce2Be2InRh5: optimized geometry, PBE-GGA.

Cell and atoms, written as extended XYZ:
```
20
Lattice="9.599 0.000 0.000 0.000 9.599 0.000 0.000 0.000 3.469" Properties=species:S:1:pos:R:3 pbc="T T T"
Ce 1.704 3.096 0.000
Ce 3.096 7.895 0.000
Ce 6.503 1.704 0.000
Ce 7.895 6.503 0.000
Be 1.136 5.935 0.000
Be 3.663 1.136 0.000
Be 5.935 8.463 0.000
Be 8.463 3.663 0.000
In 0.000 0.000 0.000
In 4.799 4.799 0.000
Rh 0.000 4.799 1.734
Rh 0.697 7.496 1.734
Rh 2.103 0.697 1.734
Rh 2.696 5.496 1.734
Rh 4.103 2.696 1.734
Rh 4.799 0.000 1.734
Rh 5.496 6.902 1.734
Rh 6.902 4.103 1.734
Rh 7.496 8.902 1.734
Rh 8.902 2.103 1.734
```

## Properties
ρ = 9.64 g/cm3
magnetization = 0.000 μB per atom
raw total energy = -6.629 eV/atom
formation energy = -0.7476 eV per atom

Record 5
Ce3Be2Ir5: optimized geometry, PBE-GGA.

Cell and atoms, written as extended XYZ:
```
20
Lattice="9.752 0.000 0.000 0.000 9.752 0.000 0.000 0.000 3.586" Properties=species:S:1:pos:R:3 pbc="T T T"
Ce 0.000 0.000 0.000
Ce 1.701 3.176 0.000
Ce 3.176 8.052 0.000
Ce 4.876 4.876 0.000
Ce 6.577 1.701 0.000
Ce 8.052 6.577 0.000
Be 1.157 6.033 0.000
Be 3.719 1.157 0.000
Be 6.033 8.595 0.000
Be 8.595 3.719 0.000
Ir 0.000 4.876 1.793
Ir 0.699 7.579 1.793
Ir 2.173 0.699 1.793
Ir 2.703 5.575 1.793
Ir 4.177 2.703 1.793
Ir 4.876 0.000 1.793
Ir 5.575 7.049 1.793
Ir 7.049 4.177 1.793
Ir 7.579 9.053 1.793
Ir 9.053 2.173 1.793
```

## Properties
ρ = 13.63 g/cm3
magnetization = 0.000 μB per atom
raw total energy = -7.667 eV/atom
formation energy = -0.7115 eV per atom

Record 6
CeBeIr: optimized geometry, PBE-GGA.

Cell and atoms, written as extended XYZ:
```
12
Lattice="0.000 5.300 7.326 2.873 0.000 7.326 2.873 5.300 0.000" Properties=species:S:1:pos:R:3 pbc="T T T"
Ce 2.155 3.975 0.813
Ce 3.592 6.624 4.476
Ce 2.155 3.975 10.177
Ce 3.592 6.624 13.840
Be 3.219 3.975 5.495
Be 4.655 6.624 9.158
Be 1.091 3.975 5.495
Be 2.528 6.624 9.158
Ir 2.873 2.650 3.663
Ir 1.437 5.300 3.663
Ir 1.437 2.650 7.326
Ir 2.873 5.300 7.326
```

## Properties
ρ = 10.16 g/cm3
magnetization = 0.238 μB per atom
raw total energy = -6.425 eV/atom
polymorph energy (0 for the lowest one) = 90 kJ/mol of formula units
formation energy = -0.2515 eV per atom

Record 7
Ce2Be4Ir5: optimized geometry, PBE-GGA.

Cell and atoms, written as extended XYZ:
```
11
Lattice="0.000 4.743 6.243 2.832 0.000 6.243 2.832 4.743 0.000" Properties=species:S:1:pos:R:3 pbc="T T T"
Ce 2.832 4.743 1.652
Ce 2.832 4.743 10.833
Be 2.832 3.271 4.593
Be 2.832 3.271 7.893
Be 2.832 6.215 4.593
Be 2.832 6.215 7.893
Ir 1.416 2.372 0.000
Ir 1.416 2.372 3.121
Ir 1.416 2.372 6.243
Ir 2.832 4.743 6.243
Ir 4.247 7.115 9.364
```

## Properties
ρ = 12.65 g/cm3
magnetization = 0.059 μB per atom
raw total energy = -7.109 eV/atom
formation energy = -0.6470 eV per atom

Record 8
CeBeIr: optimized geometry, PBE-GGA.

Cell and atoms, written as extended XYZ:
```
6
Lattice="4.044 0.000 0.000 -2.022 3.503 0.000 0.000 0.000 7.723" Properties=species:S:1:pos:R:3 pbc="T T T"
Ce 0.000 0.000 0.000
Ce 0.000 0.000 3.862
Be 0.000 2.335 1.931
Be 2.022 1.168 5.792
Ir 0.000 2.335 5.792
Ir 2.022 1.168 1.931
```

## Properties
ρ = 10.36 g/cm3
magnetization = 0.175 μB per atom
raw total energy = -6.737 eV/atom
polymorph energy (0 for the lowest one) = 0 kJ/mol of formula units
formation energy = -0.5629 eV per atom

Record 9
Ce2BeIr: optimized geometry, PBE-GGA.

Cell and atoms, written as extended XYZ:
```
4
Lattice="1.443 0.833 10.956 -1.443 0.833 10.956 0.000 -1.666 10.956" Properties=species:S:1:pos:R:3 pbc="T T T"
Ce 0.000 0.000 2.960
Ce 0.000 0.000 29.908
Be 0.000 0.000 0.000
Ir 0.000 0.000 16.434
```

## Properties
ρ = 10.12 g/cm3
magnetization = 0.000 μB per atom
raw total energy = -5.685 eV/atom
formation energy = 0.4290 eV per atom

Record 10
CeBeIr2: optimized geometry, PBE-GGA.

Cell and atoms, written as extended XYZ:
```
4
Lattice="1.958 1.130 5.161 -1.958 1.130 5.161 0.000 -2.261 5.161" Properties=species:S:1:pos:R:3 pbc="T T T"
Ce 0.000 0.000 0.000
Be 0.000 0.000 7.742
Ir 0.000 0.000 3.355
Ir 0.000 0.000 12.129
```

## Properties
ρ = 12.93 g/cm3
magnetization = 0.000 μB per atom
raw total energy = -7.337 eV/atom
polymorph energy (0 for the lowest one) = 54 kJ/mol of formula units
formation energy = -0.4914 eV per atom

Record 11
CeBeIr: optimized geometry, PBE-GGA.

Cell and atoms, written as extended XYZ:
```
3
Lattice="4.018 0.000 0.000 -2.009 3.479 0.000 0.000 0.000 3.935" Properties=species:S:1:pos:R:3 pbc="T T T"
Ce 0.000 0.000 0.000
Be 0.000 2.320 1.967
Ir 2.009 1.160 1.967
```

## Properties
ρ = 10.31 g/cm3
magnetization = 0.225 μB per atom
raw total energy = -6.723 eV/atom
polymorph energy (0 for the lowest one) = 4 kJ/mol of formula units
formation energy = -0.5491 eV per atom

Record 12
CeBe3Ir: optimized geometry, PBE-GGA.

Cell and atoms, written as extended XYZ:
```
5
Lattice="4.300 0.000 0.000 0.000 4.300 0.000 0.000 0.000 4.300" Properties=species:S:1:pos:R:3 pbc="T T T"
Ce 0.000 0.000 0.000
Be 0.000 2.150 2.150
Be 2.150 0.000 2.150
Be 2.150 2.150 0.000
Ir 2.150 2.150 2.150
```

## Properties
ρ = 7.51 g/cm3
magnetization = 0.147 μB per atom
raw total energy = -5.471 eV/atom
formation energy = -0.2764 eV per atom